The following is a PBE+U calculation of a relaxed structure of LiCoNiO4, from Alexandria via LeMat-Bulk.

Summary:
The calculation puts the total energy at -5.2887 eV per atom. The value obtained for the relative energy among the computed polymorphs is 0.0 meV/atom. Its space group is Imma, No. 74.

Unit cell a=5.680 b=5.680 c=5.680 alpha=120.03 beta=119.80 gamma=90.14
Site moments in Bohr magnetons follow the coordinates.
Sites, in units of the cell vectors:
O 0.734 0.261 0.027  -0.01
O 0.292 0.262 0.030  -0.02
O 0.731 0.262 0.470  -0.02
Co 0.000 0.500 0.500  -0.03
Li 0.130 0.880 0.250  0.00
Ni 0.500 0.500 0.500  0.07
O 0.734 0.707 0.473  -0.01
Li 0.870 0.120 0.750  0.00
O 0.266 0.739 0.973  -0.01
Ni 0.500 0.000 0.000  0.07
Co 0.500 0.500 0.000  -0.03
O 0.708 0.738 0.970  -0.02
O 0.269 0.738 0.530  -0.02
O 0.266 0.293 0.527  -0.01